## CrW2O8 (PBE+U)

Data for an optimized crystal structure of CrW2O8.

- VASP energy (eV per atom) = -7.303

Cell lengths 5.6850, 5.6850, 6.4359 Å; angles 90.00, 90.00, 120.00 degrees
Last column: nearest neighbours and their distance in Å.
Space group P-3m1 (No. 164)
Symmetry-distinct sites (fractional):
Cr 0.0000 0.0000 0.0000 (multiplicity 1)  6 O 1.91
W 0.3333 0.6667 0.7323 (multiplicity 2)  4 O 1.76-1.83
O 0.1583 0.3167 0.8273 (multiplicity 6)  1 W 1.83, 1 Cr 1.91
O 0.3333 0.6667 0.4584 (multiplicity 2)  1 W 1.76